Entry 1:
Computed, not measured: a relaxed BaCrSnHg2 crystal at the PBE level of DFT.

a b c (Å): 5.5985 6.7627 5.5985
angles (deg): 90.00 90.00 90.00
With the nearest neighbours (Å) after each atom.
Fractional positions:
Cr1 0.5000 0.5000 0.5000  4 Ba 3.96, 8 Hg 4.39
Sn1 0.0000 0.0000 0.0000  4 Hg 2.80
Hg1 0.5000 0.0000 0.0000  2 Sn 2.80
Hg2 0.0000 0.0000 0.5000  2 Sn 2.80
Ba1 0.0000 0.5000 0.0000  2 Sn 3.38

## Properties
DOS at the Fermi energy = 0.41 states/eV/atom
electronic total energy = -2.671 eV/atom
DFT formation energy = 0.560 eV/atom
spin magnetization = 4.99 μB per cell
SG = No. 123


Entry 2:
Computed, not measured: a relaxed Ba2CrSnHg crystal at the PBE level of DFT.

a b c (Å): 5.7015 5.2140 5.7015
angles (deg): 90.00 90.00 90.00
With the nearest neighbours (Å) after each atom.
Fractional positions:
Ba1 0.5000 0.0000 0.0000  2 Cr 2.85
Ba2 0.0000 0.0000 0.5000  2 Cr 2.85
Hg1 0.0000 0.5000 0.0000  2 Cr 2.61
Sn1 0.5000 0.5000 0.5000  8 Ba 3.86, 4 Hg 4.03
Cr1 0.0000 0.0000 0.0000  2 Hg 2.61, 4 Ba 2.85

## Properties
DOS at the Fermi energy = 1.33 states/eV/atom
electronic total energy = -3.003 eV/atom
DFT formation energy = 0.552 eV/atom
spin magnetization = 0.02 μB per cell
ΔE to the lowest computed polymorph = 0.1682 eV per atom
SG = No. 123


Entry 3:
Computed, not measured: a relaxed BaSr2CrHg crystal at the PBE level of DFT.

a b c (Å): 6.2516 5.2084 6.2516
angles (deg): 90.00 90.00 90.00
With the nearest neighbours (Å) after each atom.
Fractional positions:
Cr1 0.0000 0.5000 0.0000  2 Hg 2.60
Ba1 0.5000 0.5000 0.5000  8 Sr 4.07, 4 Cr 4.42
Hg1 0.0000 0.0000 0.0000  2 Cr 2.60
Sr1 0.5000 0.0000 0.0000  2 Hg 3.13
Sr2 0.0000 0.0000 0.5000  2 Hg 3.13

## Properties
DOS at the Fermi energy = 2.07 states/eV/atom
electronic total energy = -2.390 eV/atom
DFT formation energy = 0.653 eV/atom
spin magnetization = 0.20 μB per cell
SG = No. 123


Entry 4:
Computed, not measured: a relaxed BaSrCr2Hg crystal at the PBE level of DFT.

a b c (Å): 5.9279 7.2171 5.9279
angles (deg): 90.00 90.00 90.00
With the nearest neighbours (Å) after each atom.
Fractional positions:
Hg1 0.5000 0.5000 0.5000  4 Ba 4.19, 8 Cr 4.67
Cr1 0.0000 0.0000 0.5000  2 Sr 2.96
Cr2 0.5000 0.0000 0.0000  2 Sr 2.96
Ba1 0.0000 0.5000 0.0000  2 Sr 3.61
Sr1 0.0000 0.0000 0.0000  4 Cr 2.96

## Properties
DOS at the Fermi energy = 1.03 states/eV/atom
electronic total energy = -3.176 eV/atom
DFT formation energy = 1.455 eV/atom
spin magnetization = 10.81 μB per cell
SG = No. 123


Entry 5:
Computed, not measured: a relaxed Ba2HoCrN4 crystal at the PBE level of DFT.

a b c (Å): 5.6276 6.4723 11.1000
angles (deg): 83.67 75.32 64.23
With the nearest neighbours (Å) after each atom.
Fractional positions:
Ba1 0.5657 0.5000 0.8685  4 N 2.97-3.15
Ba2 0.9343 0.5000 0.1315  4 N 2.97-3.15
Ba3 0.1843 0.0000 0.6315  4 N 2.97-3.15
Ba4 0.8157 0.0000 0.3685  4 N 2.97-3.15
N1 0.3547 0.8163 0.0834  1 Cr 1.78
N2 0.2544 0.1837 0.9166  1 Cr 1.78
N3 0.5620 0.1837 0.0834  1 Cr 1.78
N4 0.1880 0.3163 0.4166  1 Cr 1.78
N5 0.9210 0.6837 0.5834  1 Cr 1.78
N6 0.8290 0.8163 0.9166  1 Cr 1.78
N7 0.4956 0.3163 0.5834  1 Cr 1.78
N8 0.3953 0.6837 0.4166  1 Cr 1.78
Ho1 0.0000 0.0000 0.0000  4 N 2.21
Ho2 0.7500 0.5000 0.5000  4 N 2.21
Cr1 0.2500 0.5000 0.5000  4 N 1.78
Cr2 0.5000 0.0000 0.0000  4 N 1.78

## Properties
DOS at the Fermi energy = 0.46 states/eV/atom
electronic total energy = -6.912 eV/atom
spin magnetization = 0.00 μB per cell
SG = No. 70
ΔE_f (raw) = -0.49 eV/atom


Entry 6:
Computed, not measured: a relaxed Ba3Cr5I12 crystal at the PBE level of DFT.

a b c (Å): 16.0510 16.0510 16.0510
angles (deg): 109.47 109.47 109.47
With the nearest neighbours (Å) after each atom.
Fractional positions:
I1 0.1782 0.0873 0.7043  2 Cr 2.79-2.99
I2 0.8218 0.9090 0.0261  2 Cr 2.79-2.99
I3 0.0910 0.9127 0.1170  2 Cr 2.79-2.99
I4 0.2957 0.4127 0.8218  2 Cr 2.79-2.99
I5 0.9739 0.3830 0.2957  2 Cr 2.79-2.99
I6 0.4090 0.3830 0.5873  2 Cr 2.79-2.99
I7 0.5910 0.9739 0.6782  2 Cr 2.79-2.99
I8 0.6782 0.4739 0.5910  2 Cr 2.79-2.99
I9 0.0261 0.4090 0.8218  2 Cr 2.79-2.99
I10 0.2043 0.5261 0.6170  2 Cr 2.79-2.99
I11 0.9090 0.0873 0.8830  2 Cr 2.79-2.99
I12 0.4739 0.6782 0.0910  2 Cr 2.79-2.99
I13 0.3830 0.9739 0.7957  2 Cr 2.79-2.99
I14 0.3830 0.4090 0.0873  2 Cr 2.79-2.99
I15 0.3218 0.5261 0.4090  2 Cr 2.79-2.99
I16 0.8830 0.5873 0.9090  2 Cr 2.79-2.99
I17 0.2957 0.8830 0.9739  2 Cr 2.79-2.99
I18 0.9127 0.8218 0.7957  2 Cr 2.79-2.99
I19 0.3218 0.7957 0.4127  2 Cr 2.79-2.99
I20 0.5873 0.8830 0.4090  2 Cr 2.79-2.99
I21 0.2043 0.6782 0.0873  2 Cr 2.79-2.99
I22 0.1170 0.7043 0.5261  2 Cr 2.79-2.99
I23 0.0910 0.1782 0.4739  2 Cr 2.79-2.99
I24 0.8218 0.9127 0.2957  2 Cr 2.79-2.99
I25 0.5261 0.2043 0.1170  2 Cr 2.79-2.99
I26 0.5261 0.3218 0.9090  2 Cr 2.79-2.99
I27 0.7043 0.5873 0.1782  2 Cr 2.79-2.99
I28 0.6170 0.0261 0.2043  2 Cr 2.79-2.99
I29 0.5873 0.7043 0.6782  2 Cr 2.79-2.99
I30 0.5910 0.6170 0.4127  2 Cr 2.79-2.99
I31 0.1170 0.4127 0.0910  2 Cr 2.79-2.99
I32 0.4127 0.1170 0.5910  2 Cr 2.79-2.99
I33 0.4127 0.2957 0.3218  2 Cr 2.79-2.99
I34 0.4090 0.0261 0.3218  2 Cr 2.79-2.99
I35 0.1782 0.0910 0.9739  2 Cr 2.79-2.99
I36 0.6782 0.2043 0.5873  2 Cr 2.79-2.99
I37 0.7043 0.1170 0.0261  2 Cr 2.79-2.99
I38 0.0873 0.9090 0.3830  2 Cr 2.79-2.99
I39 0.4739 0.7957 0.8830  2 Cr 2.79-2.99
I40 0.7957 0.3218 0.9127  2 Cr 2.79-2.99
I41 0.0261 0.6170 0.7043  2 Cr 2.79-2.99
I42 0.8830 0.2957 0.4739  2 Cr 2.79-2.99
I43 0.9739 0.5910 0.1782  2 Cr 2.79-2.99
I44 0.9090 0.8218 0.5261  2 Cr 2.79-2.99
I45 0.9127 0.0910 0.6170  2 Cr 2.79-2.99
I46 0.7957 0.4739 0.3830  2 Cr 2.79-2.99
I47 0.6170 0.5910 0.9127  2 Cr 2.79-2.99
I48 0.0873 0.1782 0.2043  2 Cr 2.79-2.99
Cr1 0.3750 0.2500 0.1250  4 I 2.79
Cr2 0.0000 0.5000 0.0000  6 I 2.99
Cr3 0.1250 0.3750 0.2500  4 I 2.79
Cr4 0.6250 0.8750 0.2500  4 I 2.79
Cr5 0.5000 0.5000 0.0000  6 I 2.99
Cr6 0.0000 0.0000 0.5000  6 I 2.99
Cr7 0.8750 0.6250 0.7500  4 I 2.79
Cr8 0.2500 0.3750 0.6250  4 I 2.79
Cr9 0.0000 0.5000 0.5000  6 I 2.99
Cr10 0.0000 0.0000 0.0000  6 I 2.99
Cr11 0.3750 0.1250 0.7500  4 I 2.79
Cr12 0.1250 0.7500 0.3750  4 I 2.79
Cr13 0.5000 0.5000 0.5000  6 I 2.99
Cr14 0.2500 0.8750 0.1250  4 I 2.79
Cr15 0.5000 0.0000 0.0000  6 I 2.99
Cr16 0.8750 0.2500 0.6250  4 I 2.79
Cr17 0.5000 0.0000 0.5000  6 I 2.99
Cr18 0.7500 0.6250 0.3750  4 I 2.79
Cr19 0.6250 0.7500 0.8750  4 I 2.79
Cr20 0.7500 0.1250 0.8750  4 I 2.79
Ba1 0.2500 0.6250 0.8750  8 I 3.61-3.65
Ba2 0.1250 0.8750 0.7500  8 I 3.61-3.65
Ba3 0.1250 0.2500 0.8750  8 I 3.61-3.65
Ba4 0.7500 0.3750 0.1250  8 I 3.61-3.65
Ba5 0.8750 0.7500 0.1250  8 I 3.61-3.65
Ba6 0.6250 0.3750 0.7500  8 I 3.61-3.65
Ba7 0.6250 0.2500 0.3750  8 I 3.61-3.65
Ba8 0.7500 0.8750 0.6250  8 I 3.61-3.65
Ba9 0.8750 0.1250 0.2500  8 I 3.61-3.65
Ba10 0.3750 0.6250 0.2500  8 I 3.61-3.65
Ba11 0.3750 0.7500 0.6250  8 I 3.61-3.65
Ba12 0.2500 0.1250 0.3750  8 I 3.61-3.65

## Properties
DOS at the Fermi energy = 0.50 states/eV/atom
electronic total energy = -4.351 eV/atom
spin magnetization = 96.00 μB per cell
SG = No. 230
ΔE_f (raw) = -0.73 eV/atom


Entry 7:
Computed, not measured: a relaxed BaCrI3 crystal at the PBE level of DFT.

a b c (Å): 6.7036 6.7036 6.7036
angles (deg): 90.00 90.00 90.00
With the nearest neighbours (Å) after each atom.
Fractional positions:
Ba1 0.0000 0.0000 0.0000  6 I 3.35
I1 0.5000 0.0000 0.0000  2 Ba 3.35
I2 0.0000 0.5000 0.0000  2 Ba 3.35
I3 0.0000 0.0000 0.5000  2 Ba 3.35
Cr1 0.5000 0.5000 0.5000  12 I 4.74

## Properties
DOS at the Fermi energy = 0.01 states/eV/atom
electronic total energy = -3.596 eV/atom
spin magnetization = 5.00 μB per cell
ΔE to the lowest computed polymorph = 0.4299 eV per atom
SG = No. 221
ΔE_f (raw) = -0.36 eV/atom


Entry 8:
Computed, not measured: a relaxed BaCrI3 crystal at the PBE level of DFT.

a b c (Å): 5.7385 5.7385 5.7385
angles (deg): 90.00 90.00 90.00
With the nearest neighbours (Å) after each atom.
Fractional positions:
I1 0.0000 0.5000 0.0000  2 Cr 2.87
I2 0.0000 0.0000 0.5000  2 Cr 2.87
I3 0.5000 0.0000 0.0000  2 Cr 2.87
Ba1 0.5000 0.5000 0.5000  12 I 4.06
Cr1 0.0000 0.0000 0.0000  6 I 2.87

## Properties
DOS at the Fermi energy = 0.34 states/eV/atom
electronic total energy = -4.026 eV/atom
spin magnetization = 4.87 μB per cell
ΔE to the lowest computed polymorph = 0.0000 eV per atom
SG = No. 221
ΔE_f (raw) = -0.79 eV/atom


Entry 9:
Computed, not measured: a relaxed Ba2CrI6 crystal at the PBE level of DFT.

a b c (Å): 7.5607 9.2319 10.8936
angles (deg): 90.00 89.37 90.00
With the nearest neighbours (Å) after each atom.
Fractional positions:
I1 0.3988 0.5193 0.2432  1 Cr 2.76
I2 0.3294 0.8171 0.9457  1 Cr 3.26, 2 Ba 3.54-3.62
I3 0.8114 0.6512 0.0475  1 Cr 2.79
I4 0.3114 0.8488 0.5475  1 Cr 2.79
I5 0.1706 0.3171 0.5543  1 Cr 3.26, 2 Ba 3.54-3.62
I6 0.8294 0.6829 0.4457  1 Cr 3.26, 2 Ba 3.54-3.62
I7 0.6012 0.4807 0.7568  1 Cr 2.76
I8 0.6886 0.1512 0.4525  1 Cr 2.79
I9 0.1886 0.3488 0.9525  1 Cr 2.79
I10 0.8988 0.9807 0.7432  1 Cr 2.76
I11 0.1012 0.0193 0.2568  1 Cr 2.76
I12 0.6706 0.1829 0.0543  1 Cr 3.26, 2 Ba 3.54-3.62
Cr1 0.5000 0.5000 0.0000  4 I 2.76-2.79
Cr2 0.0000 0.0000 0.5000  4 I 2.76-2.79
Ba1 0.5477 0.8832 0.2392  8 I 3.54-3.80
Ba2 0.4523 0.1168 0.7608  8 I 3.54-3.80
Ba3 0.0477 0.6168 0.7392  8 I 3.54-3.80
Ba4 0.9523 0.3832 0.2608  8 I 3.54-3.80

## Properties
electronic total energy = -3.812 eV/atom
spin magnetization = 8.00 μB per cell
SG = No. 14
ΔE_f (raw) = -1.28 eV/atom


Entry 10:
Computed, not measured: a relaxed BaCrIn2I crystal at the PBE level of DFT.

a b c (Å): 6.8134 6.4840 6.8134
angles (deg): 90.00 90.00 90.00
With the nearest neighbours (Å) after each atom.
Fractional positions:
In1 0.0000 0.0000 0.5000  2 Ba 3.41
In2 0.5000 0.0000 0.0000  2 Ba 3.41
Ba1 0.0000 0.0000 0.0000  2 I 3.24, 4 In 3.41
I1 0.0000 0.5000 0.0000  2 Ba 3.24
Cr1 0.5000 0.5000 0.5000  8 In 4.70, 4 I 4.82

## Properties
DOS at the Fermi energy = 0.84 states/eV/atom
electronic total energy = -2.947 eV/atom
spin magnetization = 5.00 μB per cell
SG = No. 123
ΔE_f (raw) = 0.77 eV/atom


Entry 11:
Computed, not measured: a relaxed BaCrMoI2 crystal at the PBE level of DFT.

a b c (Å): 5.4957 6.6645 5.4957
angles (deg): 90.00 90.00 90.00
With the nearest neighbours (Å) after each atom.
Fractional positions:
I1 0.0000 0.0000 0.5000  2 Cr 2.75
I2 0.5000 0.0000 0.0000  2 Cr 2.75
Ba1 0.0000 0.5000 0.0000  2 Cr 3.33
Mo1 0.5000 0.5000 0.5000  4 Ba 3.89, 8 I 4.32
Cr1 0.0000 0.0000 0.0000  4 I 2.75

## Properties
DOS at the Fermi energy = 0.83 states/eV/atom
electronic total energy = -4.226 eV/atom
spin magnetization = 9.62 μB per cell
SG = No. 123
ΔE_f (raw) = 0.87 eV/atom


Entry 12:
Computed, not measured: a relaxed BaCrIN2 crystal at the PBE level of DFT.

a b c (Å): 4.5486 4.5486 7.0133
angles (deg): 90.00 90.00 90.00
With the nearest neighbours (Å) after each atom.
Fractional positions:
Cr1 0.5000 0.5000 0.5000  4 I 3.22
Ba1 0.0000 0.0000 0.0000  4 N 2.27
N1 0.5000 0.0000 0.0000  2 Ba 2.27
N2 0.0000 0.5000 0.0000  2 Ba 2.27
I1 0.0000 0.0000 0.5000  4 Cr 3.22, 2 Ba 3.51

## Properties
DOS at the Fermi energy = 1.19 states/eV/atom
electronic total energy = -4.334 eV/atom
spin magnetization = 4.44 μB per cell
ΔE to the lowest computed polymorph = 1.2541 eV per atom
SG = No. 123
ΔE_f (raw) = 1.62 eV/atom